[1]
DFT (PBE) results for crystalline MnBeAl3 at its relaxed geometry.

Geometry as extended XYZ:
```
5
Lattice="4.343 0.000 0.000 0.000 4.343 0.000 0.000 0.000 4.343" Properties=species:S:1:pos:R:3 pbc="T T T"
Mn 0.000 0.000 0.000
Be 2.171 2.171 2.171
Al 0.000 2.171 2.171
Al 2.171 0.000 2.171
Al 2.171 2.171 0.000
```

Properties
**DFT formation energy**: 0.540 eV/atom
**Energy relative to the lowest polymorph listed for this composition**: 0 meV per atom
**SG**: No. 221



[2]
DFT (PBE) results for crystalline Na2MgAg at its relaxed geometry.

Geometry as extended XYZ:
```
4
Lattice="3.954 0.000 0.000 0.000 3.954 0.000 0.000 0.000 6.459" Properties=species:S:1:pos:R:3 pbc="T T T"
Na 0.000 0.000 1.495
Na 0.000 0.000 4.964
Mg 1.977 1.977 3.229
Ag 1.977 1.977 0.000
```

Properties
**DFT formation energy**: 0.084 eV/atom
**SG**: No. 123



[3]
DFT (PBE) results for crystalline CaTbNd2Sb4 at its relaxed geometry.

Geometry as extended XYZ:
```
8
Lattice="7.764 0.000 0.000 0.000 4.484 0.000 -2.595 0.000 7.387" Properties=species:S:1:pos:R:3 pbc="T T T"
Ca 0.000 0.000 0.000
Tb -1.297 2.242 3.694
Nd 2.585 0.000 3.694
Nd 3.882 2.242 0.000
Sb -0.034 0.000 5.501
Sb 1.266 2.242 1.873
Sb 3.904 2.242 5.515
Sb 5.204 0.000 1.886
```

Properties
**Energy relative to the elements, uncorrected**: -1.06 eV/atom
**SG**: No. 10



[4]
DFT (PBE) results for crystalline FeOsCl4 at its relaxed geometry.

Geometry as extended XYZ:
```
6
Lattice="0.000 3.986 3.986 3.986 0.000 3.986 3.986 3.986 0.000" Properties=species:S:1:pos:R:3 pbc="T T T"
Fe 0.000 0.000 0.000
Os 5.978 5.978 5.978
Cl 2.993 2.993 2.993
Cl 4.978 4.978 2.993
Cl 4.978 2.993 4.978
Cl 2.993 4.978 4.978
```

Properties
**Energy relative to the elements, uncorrected**: 1.71 eV/atom
**SG**: No. 216



[5]
DFT (PBE) results for crystalline Pm3Nd2Sm6Dy at its relaxed geometry.

Geometry as extended XYZ:
```
12
Lattice="3.149 -5.453 0.000 3.149 5.453 0.000 -2.105 0.000 11.879" Properties=species:S:1:pos:R:3 pbc="T T T"
Pm 0.000 0.000 0.000
Pm 3.149 1.815 0.000
Pm 3.149 -1.815 0.000
Nd 2.097 3.636 5.939
Nd 2.097 -3.636 5.939
Sm 1.052 1.812 2.974
Sm 0.001 0.000 8.908
Sm 1.052 -1.812 2.974
Sm 3.141 1.812 8.905
Sm 4.193 0.000 2.971
Sm 3.141 -1.812 8.905
Dy 2.097 0.000 5.939
```

Properties
**DFT formation energy**: 0.013 eV/atom
**SG**: No. 12



[6]
DFT (PBE) results for crystalline Pr5Nd4Er3 at its relaxed geometry.

Geometry as extended XYZ:
```
12
Lattice="5.282 -2.891 0.000 5.282 2.891 0.000 -5.177 0.000 13.727" Properties=species:S:1:pos:R:3 pbc="T T T"
Pr 0.000 0.000 0.000
Pr 0.967 0.000 6.894
Pr 1.016 0.000 10.450
Pr 4.372 0.000 3.277
Pr 4.421 0.000 6.833
Nd -2.550 0.000 8.641
Nd -2.563 0.000 12.081
Nd 7.951 0.000 1.646
Nd 7.938 0.000 5.086
Er 0.891 0.000 3.334
Er 5.282 0.000 0.000
Er 4.497 0.000 10.393
```

Properties
**DFT formation energy**: 0.207 eV/atom
**SG**: No. 12



[7]
DFT (PBE) results for crystalline ErTmGa2Pd2 at its relaxed geometry.

Geometry as extended XYZ:
```
6
Lattice="4.486 0.000 0.000 -2.243 3.885 0.000 0.000 0.000 6.705" Properties=species:S:1:pos:R:3 pbc="T T T"
Er 0.000 0.000 0.000
Tm 0.000 0.000 3.353
Ga 0.000 2.590 5.008
Ga 2.243 1.295 1.697
Pd 0.000 2.590 1.704
Pd 2.243 1.295 5.001
```

Properties
**DFT formation energy**: -0.865 eV/atom
**SG**: No. 164



[8]
DFT (PBE) results for crystalline Ho2SiPd8 at its relaxed geometry.

Geometry as extended XYZ:
```
11
Lattice="-2.315 2.933 6.969 2.315 -2.933 6.969 2.315 2.933 -6.969" Properties=species:S:1:pos:R:3 pbc="T T T"
Ho 0.000 0.000 2.617
Ho 0.000 0.000 11.321
Si 0.000 0.000 6.969
Pd 2.315 1.439 -1.799
Pd 0.000 1.524 0.000
Pd 2.315 0.000 4.399
Pd 2.315 1.439 1.799
Pd 0.000 1.494 5.170
Pd 0.000 2.933 2.570
Pd 0.000 4.342 0.000
Pd 0.000 1.494 8.768
```

Properties
**Energy relative to the elements, uncorrected**: -0.74 eV/atom
**SG**: No. 71



[9]
DFT (PBE) results for crystalline Ta2IrW at its relaxed geometry.

Geometry as extended XYZ:
```
4
Lattice="1.425 0.823 9.627 -1.425 0.823 9.627 0.000 -1.645 9.627" Properties=species:S:1:pos:R:3 pbc="T T T"
Ta 0.000 0.000 0.000
Ta 0.000 0.000 7.008
Ir 0.000 0.000 14.314
W 0.000 0.000 21.771
```

Properties
**DFT formation energy**: 0.059 eV/atom
**Energy relative to the lowest polymorph listed for this composition**: 388 meV per atom
**SG**: No. 160



[10]
DFT (PBE) results for crystalline LaCePdRh at its relaxed geometry.

Geometry as extended XYZ:
```
4
Lattice="0.000 3.581 3.581 3.581 0.000 3.581 3.581 3.581 0.000" Properties=species:S:1:pos:R:3 pbc="T T T"
La 0.000 0.000 0.000
Ce 3.581 3.581 3.581
Pd 1.791 1.791 1.791
Rh 5.372 5.372 5.372
```

Properties
**DFT formation energy**: -0.665 eV/atom
**Energy relative to the lowest polymorph listed for this composition**: 95 meV per atom
**SG**: No. 216



[11]
DFT (PBE) results for crystalline AlTcHg2 at its relaxed geometry.

Geometry as extended XYZ:
```
4
Lattice="3.627 0.000 0.000 0.000 3.627 0.000 0.000 0.000 5.650" Properties=species:S:1:pos:R:3 pbc="T T T"
Al 0.000 0.000 0.000
Tc 0.000 0.000 2.825
Hg 1.813 1.813 1.421
Hg 1.813 1.813 4.229
```

Properties
**DFT formation energy**: 0.497 eV/atom
**SG**: No. 123



[12]
DFT (PBE) results for crystalline HoScZnRu at its relaxed geometry.

Geometry as extended XYZ:
```
4
Lattice="0.000 3.369 3.369 3.369 0.000 3.369 3.369 3.369 0.000" Properties=species:S:1:pos:R:3 pbc="T T T"
Ho 0.000 0.000 0.000
Sc 3.369 3.369 3.369
Zn 5.054 5.054 5.054
Ru 1.685 1.685 1.685
```

Properties
**DFT formation energy**: -0.406 eV/atom
**Energy relative to the lowest polymorph listed for this composition**: 65 meV per atom
**SG**: No. 216



[13]
DFT (PBE) results for crystalline Dy2HRh at its relaxed geometry.

Geometry as extended XYZ:
```
4
Lattice="3.242 0.000 0.000 0.000 3.242 0.000 0.000 0.000 7.042" Properties=species:S:1:pos:R:3 pbc="T T T"
Dy 0.000 0.000 1.738
Dy 0.000 0.000 5.303
H 1.621 1.621 0.000
Rh 1.621 1.621 3.521
```

Properties
**Energy relative to the lowest polymorph listed for this composition**: 343 meV per atom
**SG**: No. 123



[14]
DFT (PBE) results for crystalline AlGaPCl at its relaxed geometry.

Geometry as extended XYZ:
```
4
Lattice="3.066 -2.552 0.000 3.066 2.552 0.000 -2.443 0.000 5.324" Properties=species:S:1:pos:R:3 pbc="T T T"
Al 0.000 0.000 0.000
Ga -0.224 0.000 2.594
P -0.075 0.000 4.986
Cl 3.004 0.000 2.916
```

Properties
**Energy relative to the elements, uncorrected**: -0.37 eV/atom
**Energy relative to the lowest polymorph listed for this composition**: 199 meV per atom
**SG**: No. 8



[15]
DFT (PBE) results for crystalline Er6P2CS3 at its relaxed geometry.

Geometry as extended XYZ:
```
12
Lattice="8.454 -1.917 0.000 8.454 1.917 0.000 -1.832 0.000 7.572" Properties=species:S:1:pos:R:3 pbc="T T T"
Er -0.389 0.000 1.650
Er 4.873 0.000 3.186
Er 4.210 0.000 6.981
Er 10.865 0.000 0.591
Er 10.202 0.000 4.386
Er 15.464 0.000 5.922
P 2.204 0.000 2.514
P 12.871 0.000 5.058
C 8.454 0.000 0.000
S 1.320 0.000 6.322
S 7.538 0.000 3.786
S 13.756 0.000 1.250
```

Properties
**Energy relative to the elements, uncorrected**: -1.67 eV/atom
**SG**: No. 12



[16]
DFT (PBE) results for crystalline CdSi2O at its relaxed geometry.

Geometry as extended XYZ:
```
4
Lattice="0.000 3.137 3.137 3.137 0.000 3.137 3.137 3.137 0.000" Properties=species:S:1:pos:R:3 pbc="T T T"
Cd 0.000 0.000 0.000
Si 1.569 1.569 1.569
Si 4.706 4.706 4.706
O 3.137 3.137 3.137
```

Properties
**Energy relative to the elements, uncorrected**: 0.63 eV/atom
**Energy relative to the lowest polymorph listed for this composition**: 796 meV per atom
**SG**: No. 225



[17]
DFT (PBE) results for crystalline DyCoNiP2 at its relaxed geometry.

Geometry as extended XYZ:
```
5
Lattice="-1.928 1.928 4.694 1.928 -1.928 4.694 1.928 1.928 -4.694" Properties=species:S:1:pos:R:3 pbc="T T T"
Dy 0.000 0.000 0.000
Co 0.000 1.928 2.347
Ni 1.928 0.000 2.347
P 0.000 0.000 3.521
P 0.000 0.000 5.866
```

Properties
**DFT formation energy**: -0.996 eV/atom
**SG**: No. 119



[18]
DFT (PBE) results for crystalline La3W at its relaxed geometry.

Geometry as extended XYZ:
```
4
Lattice="3.221 0.000 0.000 0.000 5.417 0.000 0.000 0.000 6.319" Properties=species:S:1:pos:R:3 pbc="T T T"
La 0.000 0.000 0.000
La 0.000 2.709 1.677
La 1.610 0.000 3.583
W 1.610 2.709 4.929
```

Properties
**DFT formation energy**: 0.617 eV/atom
**Energy relative to the lowest polymorph listed for this composition**: 203 meV per atom
**SG**: No. 25



[19]
DFT (PBE) results for crystalline K2BaNb at its relaxed geometry.

Geometry as extended XYZ:
```
4
Lattice="0.000 4.521 4.521 4.521 0.000 4.521 4.521 4.521 0.000" Properties=species:S:1:pos:R:3 pbc="T T T"
K 2.260 2.260 2.260
K 6.781 6.781 6.781
Ba 0.000 0.000 0.000
Nb 4.521 4.521 4.521
```

Properties
**DFT formation energy**: 1.130 eV/atom
**Energy relative to the lowest polymorph listed for this composition**: 33 meV per atom
**SG**: No. 225



[20]
DFT (PBE) results for crystalline CaTiPS2 at its relaxed geometry.

Geometry as extended XYZ:
```
5
Lattice="5.012 0.000 0.000 0.000 5.012 0.000 0.000 0.000 5.058" Properties=species:S:1:pos:R:3 pbc="T T T"
Ca 0.000 0.000 0.000
Ti 2.506 2.506 2.529
P 0.000 0.000 2.529
S 0.000 2.506 0.000
S 2.506 0.000 0.000
```

Properties
**Energy relative to the elements, uncorrected**: 0.57 eV/atom
**Energy relative to the lowest polymorph listed for this composition**: 1551 meV per atom
**SG**: No. 123



[21]
DFT (PBE) results for crystalline PmNd12Sm6 at its relaxed geometry.

Geometry as extended XYZ:
```
19
Lattice="-5.501 5.501 5.501 5.501 -5.501 5.501 5.501 5.501 -5.501" Properties=species:S:1:pos:R:3 pbc="T T T"
Pm 0.000 0.000 0.000
Nd 5.501 3.322 -2.610
Nd 2.891 0.000 2.179
Nd 8.111 0.000 2.179
Nd 2.179 2.891 0.000
Nd 3.322 -2.610 5.501
Nd 0.000 2.179 2.891
Nd 5.501 3.322 2.610
Nd 2.179 8.111 0.000
Nd 3.322 2.610 5.501
Nd -2.610 5.501 3.322
Nd 2.610 5.501 3.322
Nd 0.000 2.179 8.111
Sm 5.501 1.573 0.000
Sm 5.501 0.000 3.928
Sm 3.928 5.501 0.000
Sm 1.573 0.000 5.501
Sm 0.000 5.501 1.573
Sm 0.000 3.928 5.501
```

Properties
**DFT formation energy**: 0.197 eV/atom
**Energy relative to the lowest polymorph listed for this composition**: 7 meV per atom
**SG**: No. 204



[22]
DFT (PBE) results for crystalline Rh5AuSe8 at its relaxed geometry.

Geometry as extended XYZ:
```
14
Lattice="0.000 5.254 5.254 5.254 0.000 5.254 5.254 5.254 0.000" Properties=species:S:1:pos:R:3 pbc="T T T"
Rh 0.000 0.000 0.000
Rh 3.939 3.939 3.939
Rh 6.569 6.569 3.939
Rh 6.569 3.939 6.569
Rh 3.939 6.569 6.569
Au 7.881 7.881 7.881
Se 1.408 1.408 1.408
Se 3.846 3.846 1.408
Se 3.846 1.408 3.846
Se 6.413 4.095 4.095
Se 1.408 3.846 3.846
Se 4.095 6.413 4.095
Se 4.095 4.095 6.413
Se 6.413 6.413 6.413
```

Properties
**Energy relative to the elements, uncorrected**: -0.35 eV/atom
**SG**: No. 216



[23]
DFT (PBE) results for crystalline HfMoI3 at its relaxed geometry.

Geometry as extended XYZ:
```
5
Lattice="5.677 0.000 0.000 0.000 5.677 0.000 0.000 0.000 5.677" Properties=species:S:1:pos:R:3 pbc="T T T"
Hf 0.000 0.000 0.000
Mo 2.839 2.839 2.839
I 0.000 0.000 2.839
I 0.000 2.839 0.000
I 2.839 0.000 0.000
```

Properties
**Energy relative to the elements, uncorrected**: 0.71 eV/atom
**Energy relative to the lowest polymorph listed for this composition**: 0 meV per atom
**SG**: No. 221



[24]
DFT (PBE) results for crystalline YHf2MgI at its relaxed geometry.

Geometry as extended XYZ:
```
5
Lattice="5.344 0.000 0.000 0.000 5.344 0.000 0.000 0.000 5.867" Properties=species:S:1:pos:R:3 pbc="T T T"
Y 0.000 0.000 0.000
Hf 0.000 2.672 0.000
Hf 2.672 0.000 0.000
Mg 0.000 0.000 2.934
I 2.672 2.672 2.934
```

Properties
**Energy relative to the elements, uncorrected**: 1.36 eV/atom
**SG**: No. 123



[25]
DFT (PBE) results for crystalline K2Sb3Se8 at its relaxed geometry.

Geometry as extended XYZ:
```
13
Lattice="8.177 -3.948 0.000 8.177 3.948 0.000 -1.831 0.000 6.586" Properties=species:S:1:pos:R:3 pbc="T T T"
K 3.651 0.000 1.080
K 10.873 0.000 5.506
Sb 7.262 2.039 3.293
Sb 8.177 0.000 0.000
Sb 7.262 -2.039 3.293
Se 0.982 0.000 3.119
Se 6.451 1.921 0.719
Se 8.073 1.921 5.867
Se 5.374 0.000 4.031
Se 9.150 0.000 2.555
Se 6.451 -1.921 0.719
Se 8.073 -1.921 5.867
Se 13.542 0.000 3.467
```

Properties
**Energy relative to the elements, uncorrected**: -0.36 eV/atom
**SG**: No. 12



[26]
DFT (PBE) results for crystalline DyHoAgGe at its relaxed geometry.

Geometry as extended XYZ:
```
4
Lattice="0.000 3.584 3.584 3.584 0.000 3.584 3.584 3.584 0.000" Properties=species:S:1:pos:R:3 pbc="T T T"
Dy 0.000 0.000 0.000
Ho 3.584 3.584 3.584
Ag 1.792 1.792 1.792
Ge 5.377 5.377 5.377
```

Properties
**DFT formation energy**: -0.525 eV/atom
**SG**: No. 216